Record 1
The following is a DFT calculation (PBE-GGA) of a relaxed Hf2SN crystal.

Output
The value obtained for the total energy is -76.899 eV for the cell shown.

Unit cell a=3.3286 b=3.3286 c=11.9471 alpha=90.00 beta=90.00 gamma=120.00
Space group P6_3/mmc (No. 194)
Unique sites:
Hf (0.3333, 0.6667, 0.0987) x4
S (0.3333, 0.6667, 0.7500) x2
N (0.0000, 0.0000, 0.0000) x2

***

Record 2
The following is a DFT calculation (PBE-GGA) of a relaxed Hf4SbSN2 crystal.

Output
The value obtained for the total energy is -74.791 eV for the cell shown.

Unit cell a=3.3788 b=3.3788 c=12.5810 alpha=90.00 beta=90.00 gamma=120.00
Space group P-6m2 (No. 187)
Unique sites:
Hf (0.0000, 0.0000, 0.1420) x2
Hf (0.6667, 0.3333, 0.3256) x2
Sb (0.0000, 0.0000, 0.5000) x1
S (0.6667, 0.3333, 0.0000) x1
N (0.3333, 0.6667, 0.2338) x2

***

Record 3
The following is a DFT calculation (PBE-GGA) of a relaxed Hf4SbSN2 crystal.

Output
The value obtained for the total energy is -74.791 eV for the cell shown.

Unit cell a=3.3788 b=3.3788 c=12.5810 alpha=90.00 beta=90.00 gamma=120.00
Space group P-6m2 (No. 187)
Unique sites:
Hf (0.0000, 0.0000, 0.1420) x2
Hf (0.3333, 0.6667, 0.3256) x2
Sb (0.0000, 0.0000, 0.5000) x1
S (0.3333, 0.6667, 0.0000) x1
N (0.6667, 0.3333, 0.2338) x2